No. 1
# Cs2BaI4

A relaxed Cs2BaI4 crystal (PBE, Alexandria via LeMat-Bulk).

The value obtained for the uncorrected formation energy is -1642 meV per atom. The value obtained for the total magnetization is 0.000 Bohr magnetons per cell. The value obtained for the total energy is -3.046 eV/atom. The energy above the most stable polymorph in this dataset comes out at 0.0 meV/atom.

The space group is C2/m (No. 12) and the conventional cell measures 16.879, 5.109 and 10.611 Å, with angles of 90.00, 119.21 and 90.00 degrees. Symmetry generates all atoms from Cs at (0.144, 0.000, 0.182), Ba at (0.000, 0.500, 0.500), I at (0.051, 0.500, 0.854) and I at (0.159, 0.000, 0.572).

---

No. 2
# Al2CoPb

A relaxed Al2CoPb crystal (PBE, Alexandria via LeMat-Bulk).

Its energy of formation from the pure elements is 1.4 eV per formula unit. The value obtained for the total magnetization is 1.717 Bohr magnetons per cell. The value obtained for the total energy is -4.225 eV/atom.

The space group is I4/mmm (No. 139) and the conventional cell measures 4.045, 4.045 and 8.437 Å, with angles of 90.00, 90.00 and 90.00 degrees. Symmetry generates all atoms from Al at (0.000, 0.500, 0.250), Co at (0.000, 0.000, 0.000) and Pb at (0.000, 0.000, 0.500).